An optimized crystal structure of TlSi2P, computed with PBE-GGA.

Properties
DFT total energy = -4.35 eV/atom
E_form (uncorrected) = 0.31 eV per atom
Excess energy over the best structure of this formula in the dataset = 0.050 eV/atom

Lattice parameters (Å, degrees): 3.5683 3.5683 21.6052 90.00 90.00 120.00
Space group R-3m (No. 166, hexagonal axes)
One atom of each set of equivalent atoms:
Tl 0.0000 0.0000 0.0000 [3 per cell]
Si 0.0000 0.0000 0.2296 [6 per cell]
P 0.0000 0.0000 0.5000 [3 per cell]

An optimized crystal structure of Tl2SiP, computed with PBE-GGA.

Properties
DFT total energy = -3.70 eV/atom
E_form (uncorrected) = 0.19 eV per atom
Excess energy over the best structure of this formula in the dataset = 0.155 eV/atom

Lattice parameters (Å, degrees): 3.383 3.383 8.390 90.00 90.00 90.00
Space group P4mm (No. 99)
One atom of each set of equivalent atoms:
Tl 0.000 0.000 0.000 [1 per cell]
Tl 0.500 0.500 0.334 [1 per cell]
Si 0.500 0.500 0.694 [1 per cell]
P 0.000 0.000 0.646 [1 per cell]

An optimized crystal structure of Tl2SiP, computed with PBE-GGA.

Properties
DFT total energy = -3.29 eV/atom
E_form (uncorrected) = 0.60 eV per atom
Excess energy over the best structure of this formula in the dataset = 0.571 eV/atom

Lattice parameters (Å, degrees): 3.785 3.785 6.458 90.00 90.00 90.00
Space group P4/mmm (No. 123)
One atom of each set of equivalent atoms:
Tl 0.000 0.000 0.242 [2 per cell]
Si 0.500 0.500 0.500 [1 per cell]
P 0.500 0.500 0.000 [1 per cell]

An optimized crystal structure of TlSiP2, computed with PBE-GGA.

Properties
DFT total energy = -3.85 eV/atom
E_form (uncorrected) = 0.80 eV per atom
Excess energy over the best structure of this formula in the dataset = 0.714 eV/atom

Lattice parameters (Å, degrees): 3.586 4.332 4.920 90.00 90.00 90.00
Space group Pmmm (No. 47)
One atom of each set of equivalent atoms:
Tl 0.000 0.000 0.000 [1 per cell]
Si 0.500 0.500 0.000 [1 per cell]
P 0.000 0.500 0.500 [1 per cell]
P 0.500 0.000 0.500 [1 per cell]

An optimized crystal structure of TlSiP2, computed with PBE-GGA.

Properties
DFT total energy = -3.85 eV/atom
E_form (uncorrected) = 0.81 eV per atom
Excess energy over the best structure of this formula in the dataset = 0.722 eV/atom

Lattice parameters (Å, degrees): 5.792 9.635 2.870 90.00 109.03 90.00
Space group C2/m (No. 12)
One atom of each set of equivalent atoms:
Tl 0.000 0.000 0.000 [2 per cell]
Si 0.000 0.500 0.000 [2 per cell]
P 0.250 0.250 0.500 [4 per cell]

An optimized crystal structure of TlSiP2, computed with PBE-GGA.

Properties
DFT total energy = -4.17 eV/atom
E_form (uncorrected) = 0.48 eV per atom
Excess energy over the best structure of this formula in the dataset = 0.393 eV/atom

Lattice parameters (Å, degrees): 3.232 5.842 8.917 90.00 90.00 90.00
Space group Imm2 (No. 44)
One atom of each set of equivalent atoms:
Tl 0.000 0.000 0.000 [2 per cell]
Si 0.000 0.500 0.194 [2 per cell]
P 0.000 0.000 0.490 [2 per cell]
P 0.000 0.500 0.815 [2 per cell]

An optimized crystal structure of Tl2SiP, computed with PBE-GGA.

Properties
DFT total energy = -3.19 eV/atom
E_form (uncorrected) = 0.70 eV per atom
Excess energy over the best structure of this formula in the dataset = 0.665 eV/atom

Lattice parameters (Å, degrees): 3.2187 3.2187 31.3432 90.00 90.00 120.00
Space group R-3m (No. 166, hexagonal axes)
One atom of each set of equivalent atoms:
Tl 0.0000 0.0000 0.2476 [6 per cell]
Si 0.0000 0.0000 0.0000 [3 per cell]
P 0.0000 0.0000 0.5000 [3 per cell]

An optimized crystal structure of Tl2SiP, computed with PBE-GGA.

Properties
DFT total energy = -3.26 eV/atom
E_form (uncorrected) = 0.63 eV per atom
Excess energy over the best structure of this formula in the dataset = 0.599 eV/atom

Lattice parameters (Å, degrees): 7.231 7.231 7.231 90.00 90.00 90.00
Space group F-43m (No. 216)
One atom of each set of equivalent atoms:
Tl 0.000 0.000 0.000 [4 per cell]
Tl 0.250 0.250 0.250 [4 per cell]
Si 0.000 0.000 0.500 [4 per cell]
P 0.250 0.250 0.750 [4 per cell]

An optimized crystal structure of Tl2SiP, computed with PBE-GGA.

Properties
DFT total energy = -3.28 eV/atom
E_form (uncorrected) = 0.61 eV per atom
Excess energy over the best structure of this formula in the dataset = 0.579 eV/atom

Lattice parameters (Å, degrees): 4.401 4.466 4.808 90.00 90.00 90.00
Space group Pmmm (No. 47)
One atom of each set of equivalent atoms:
Tl 0.000 0.000 0.000 [1 per cell]
Tl 0.500 0.500 0.000 [1 per cell]
Si 0.000 0.500 0.500 [1 per cell]
P 0.500 0.000 0.500 [1 per cell]

An optimized crystal structure of TlSiP2, computed with PBE-GGA.

Properties
DFT total energy = -3.85 eV/atom
E_form (uncorrected) = 0.80 eV per atom
Excess energy over the best structure of this formula in the dataset = 0.716 eV/atom

Lattice parameters (Å, degrees): 6.697 6.697 6.697 90.00 90.00 90.00
Space group F-43m (No. 216)
One atom of each set of equivalent atoms:
Tl 0.000 0.000 0.000 [4 per cell]
Si 0.250 0.250 0.750 [4 per cell]
P 0.000 0.000 0.500 [4 per cell]
P 0.250 0.250 0.250 [4 per cell]

An optimized crystal structure of TlSi2P, computed with PBE-GGA.

Properties
DFT total energy = -4.34 eV/atom
E_form (uncorrected) = 0.31 eV per atom
Excess energy over the best structure of this formula in the dataset = 0.052 eV/atom

Lattice parameters (Å, degrees): 3.350 4.151 6.497 90.00 90.12 90.00
Space group Pm (No. 6)
One atom of each set of equivalent atoms:
Tl 0.000 0.000 0.000 [1 per cell]
Si 0.000 0.500 0.376 [1 per cell]
Si 0.501 0.000 0.428 [1 per cell]
P 0.501 0.500 0.630 [1 per cell]

An optimized crystal structure of TlSiP2, computed with PBE-GGA.

Properties
DFT total energy = -4.36 eV/atom
E_form (uncorrected) = 0.30 eV per atom
Excess energy over the best structure of this formula in the dataset = 0.211 eV/atom

Lattice parameters (Å, degrees): 9.705 3.299 6.052 90.00 111.39 90.00
Space group C2/m (No. 12)
One atom of each set of equivalent atoms:
Tl 0.000 0.000 0.000 [2 per cell]
Si 0.000 0.500 0.500 [2 per cell]
P 0.185 0.000 0.576 [4 per cell]